# Tb2Nd4Y2Er

An optimized crystal structure of Tb2Nd4Y2Er (PBE-GGA, Alexandria).

Values from the calculation:
The electronic total energy is -5.07 eV/atom. As for the calculated density: 6.87 g/cm3. Its symmetry is No. 12. Its density of states at the Fermi level is 13.54 states/eV/cell. For the total magnetization, the calculation gives 0.0 μB/cell.

a b c (Å): 8.0750 8.0750 8.0692
angles (deg): 107.52 107.52 36.90
Closest atoms and distances in Å follow each position.
Fractional coordinates of all 9 atoms:
1 Tb 0.1666 0.1666 0.0000  5 Nd 3.58-3.60, 3 Y 3.59, 2 Er 3.61, 2 Tb 3.61
2 Tb 0.8334 0.8334 0.0000  5 Nd 3.58-3.60, 3 Y 3.59, 2 Er 3.61, 2 Tb 3.61
3 Nd 0.0546 0.0546 0.3303  2 Tb 3.58-3.60, 2 Er 3.59, 4 Y 3.61-3.64, 4 Nd 3.62-3.64
4 Nd 0.2780 0.2780 0.6685  1 Er 3.60, 3 Tb 3.60, 3 Y 3.61-3.64, 5 Nd 3.62-3.64
5 Nd 0.7220 0.7220 0.3315  1 Er 3.60, 3 Tb 3.60, 3 Y 3.61-3.64, 5 Nd 3.62-3.64
6 Nd 0.9454 0.9454 0.6697  2 Tb 3.58-3.60, 2 Er 3.59, 4 Y 3.61-3.64, 4 Nd 3.62-3.64
7 Y 0.3885 0.3885 0.3302  1 Er 3.59, 3 Tb 3.59, 7 Nd 3.61-3.64, 1 Y 3.64
8 Y 0.6115 0.6115 0.6698  1 Er 3.59, 3 Tb 3.59, 7 Nd 3.61-3.64, 1 Y 3.64
9 Er 0.5000 0.5000 0.0000  2 Y 3.59, 6 Nd 3.59-3.60, 4 Tb 3.61

***

# BaScMn

An optimized crystal structure of BaScMn (PBE-GGA, Alexandria).

Values from the calculation:
The electronic total energy is -5.01 eV/atom. The calculation puts the energy above the most stable polymorph in this dataset at 359 meV per atom. As for the calculated density: 4.03 g/cm3. Its symmetry is No. 216. Its density of states at the Fermi level is 26.58 states/eV/cell. For the total magnetization, the calculation gives 8.6 μB/cell.

a b c (Å): 7.3151 7.3151 7.3151
angles (deg): 90.00 90.00 90.00
Closest atoms and distances in Å follow each position.
Fractional coordinates of all 12 atoms:
1 Ba 0.0000 0.0000 0.0000  4 Mn 3.17
2 Ba 0.0000 0.5000 0.5000  4 Mn 3.17
3 Ba 0.5000 0.0000 0.5000  4 Mn 3.17
4 Ba 0.5000 0.5000 0.0000  4 Mn 3.17
5 Sc 0.0000 0.0000 0.5000  4 Mn 3.17
6 Sc 0.0000 0.5000 0.0000  4 Mn 3.17
7 Sc 0.5000 0.0000 0.0000  4 Mn 3.17
8 Sc 0.5000 0.5000 0.5000  4 Mn 3.17
9 Mn 0.2500 0.2500 0.7500  4 Ba 3.17, 4 Sc 3.17
10 Mn 0.2500 0.7500 0.2500  4 Ba 3.17, 4 Sc 3.17
11 Mn 0.7500 0.2500 0.2500  4 Ba 3.17, 4 Sc 3.17
12 Mn 0.7500 0.7500 0.7500  4 Ba 3.17, 4 Sc 3.17

***

# LiMg2Sn3

An optimized crystal structure of LiMg2Sn3 (PBE-GGA, Alexandria).

Values from the calculation:
The electronic total energy is -2.90 eV/atom. The calculation puts the energy above the most stable polymorph in this dataset at 138 meV per atom. As for the calculated density: 4.55 g/cm3. Its symmetry is No. 71. Its density of states at the Fermi level is 5.22 states/eV/cell. For the total magnetization, the calculation gives 0.0 μB/cell.

a b c (Å): 3.1992 5.3843 17.4500
angles (deg): 90.00 90.00 90.00
Closest atoms and distances in Å follow each position.
Fractional coordinates of all 12 atoms:
1 Li 0.0000 0.0000 0.0000  2 Sn 2.69
2 Li 0.5000 0.5000 0.5000  2 Sn 2.69
3 Mg 0.0000 0.0000 0.3530  7 Sn 3.00-3.19, 2 Mg 3.20
4 Mg 0.0000 0.0000 0.6470  7 Sn 3.00-3.19, 2 Mg 3.20
5 Mg 0.5000 0.5000 0.1470  7 Sn 3.00-3.19, 2 Mg 3.20
6 Mg 0.5000 0.5000 0.8530  7 Sn 3.00-3.19, 2 Mg 3.20
7 Sn 0.0000 0.0000 0.1811  5 Mg 3.00-3.19, 1 Li 3.16, 2 Sn 3.20
8 Sn 0.0000 0.0000 0.8189  5 Mg 3.00-3.19, 1 Li 3.16, 2 Sn 3.20
9 Sn 0.0000 0.5000 0.0000  2 Li 2.69
10 Sn 0.5000 0.0000 0.5000  2 Li 2.69
11 Sn 0.5000 0.5000 0.3189  5 Mg 3.00-3.19, 1 Li 3.16, 2 Sn 3.20
12 Sn 0.5000 0.5000 0.6811  5 Mg 3.00-3.19, 1 Li 3.16, 2 Sn 3.20

***

# Dy4CoAu

An optimized crystal structure of Dy4CoAu (PBE-GGA, Alexandria).

Values from the calculation:
The electronic total energy is -5.07 eV/atom. The calculation puts the energy above the most stable polymorph in this dataset at 111 meV per atom. As for the calculated density: 9.25 g/cm3. Its symmetry is No. 10. Its density of states at the Fermi level is 5.46 states/eV/cell. For the total magnetization, the calculation gives 0.0 μB/cell.

a b c (Å): 5.3187 4.5166 6.9218
angles (deg): 90.00 102.11 90.00
Closest atoms and distances in Å follow each position.
Fractional coordinates of all 6 atoms:
1 Dy 0.0608 0.0000 0.2717  2 Co 2.81
2 Dy 0.4384 0.5000 0.7302  1 Co 2.53
3 Dy 0.5616 0.5000 0.2698  1 Co 2.53
4 Dy 0.9392 0.0000 0.7283  2 Co 2.81
5 Co 0.0000 0.5000 0.5000  6 Dy 2.53-2.81
6 Au 0.5000 0.0000 0.0000  6 Dy 2.90-3.17

***

# Yb2Ge6Pt

An optimized crystal structure of Yb2Ge6Pt (PBE-GGA, Alexandria).

Values from the calculation:
The electronic total energy is -4.54 eV/atom. As for the calculated density: 8.71 g/cm3. Its symmetry is No. 38. Its density of states at the Fermi level is 26.84 states/eV/cell. For the total magnetization, the calculation gives 0.4 μB/cell.

a b c (Å): 4.1995 11.2846 11.2846
angles (deg): 20.39 90.00 90.00
Closest atoms and distances in Å follow each position.
Fractional coordinates of all 9 atoms:
1 Yb 0.0000 0.0000 0.0000  8 Ge 3.13-3.43, 4 Pt 3.17
2 Yb 0.0000 0.3398 0.3398  10 Ge 3.02-3.18
3 Ge 0.0000 0.6231 0.6231  1 Ge 2.51, 2 Pt 2.55
4 Ge 0.0000 0.7361 0.7361  1 Ge 2.51
5 Ge 0.5000 0.1269 0.1269  1 Ge 2.51, 2 Pt 2.51
6 Ge 0.5000 0.2399 0.2399  1 Ge 2.51
7 Ge 0.5000 0.4472 0.4472  1 Pt 2.46, 2 Ge 2.52
8 Ge 0.5000 0.8781 0.8781  2 Ge 2.52
9 Pt 0.5000 0.5581 0.5581  5 Ge 2.46-2.55

***

# KTiIn

An optimized crystal structure of KTiIn (PBE-GGA, Alexandria).

Values from the calculation:
The electronic total energy is -3.77 eV/atom. The calculation puts the energy above the most stable polymorph in this dataset at 100 meV per atom. As for the calculated density: 3.12 g/cm3. Its symmetry is No. 1. Its density of states at the Fermi level is 3.27 states/eV/cell. For the total magnetization, the calculation gives 0.0 μB/cell.

a b c (Å): 4.5952 4.6041 11.9971
angles (deg): 79.35 79.31 60.07
Closest atoms and distances in Å follow each position.
Fractional coordinates of all 6 atoms:
1 K 0.0000 0.0000 0.0000  3 In 3.57-3.58, 1 Ti 3.84
2 K 0.2117 0.2096 0.3444  3 In 3.57-3.58, 1 Ti 3.84
3 Ti 0.1242 0.0693 0.6722  1 Ti 2.40
4 Ti 0.4241 0.4679 0.6722  1 Ti 2.40
5 In 0.7335 0.7299 0.7962  1 In 2.91, 6 Ti 2.97-3.15
6 In 0.8140 0.8092 0.5480  1 In 2.91, 6 Ti 2.97-3.15

***

# SmDyH8Ir2

An optimized crystal structure of SmDyH8Ir2 (PBE-GGA, Alexandria).

Values from the calculation:
The electronic total energy is -4.76 eV/atom. As for the calculated density: 9.50 g/cm3. Its symmetry is No. 148. Its density of states at the Fermi level is 2.02 states/eV/cell. For the total magnetization, the calculation gives 0.0 μB/cell.

a b c (Å): 6.6809 6.6809 6.6809
angles (deg): 42.51 42.51 42.51
Closest atoms and distances in Å follow each position.
Fractional coordinates of all 12 atoms:
1 Sm 0.0000 0.0000 0.0000  6 H 2.31
2 Dy 0.5000 0.5000 0.5000  6 H 2.36
3 H 0.0372 0.8976 0.3874  1 Ir 1.67
4 H 0.1024 0.6125 0.9628  1 Ir 1.67
5 H 0.3273 0.3273 0.3273  1 Ir 1.61
6 H 0.3875 0.0372 0.8976  1 Ir 1.67
7 H 0.6125 0.9628 0.1024  1 Ir 1.67
8 H 0.6727 0.6727 0.6727  1 Ir 1.61
9 H 0.8976 0.3874 0.0372  1 Ir 1.67
10 H 0.9628 0.1024 0.6125  1 Ir 1.67
11 Ir 0.2386 0.2386 0.2386  4 H 1.61-1.67
12 Ir 0.7614 0.7614 0.7614  4 H 1.61-1.67

***

# Ac3Sn3Pd8

An optimized crystal structure of Ac3Sn3Pd8 (PBE-GGA, Alexandria).

Values from the calculation:
The electronic total energy is -5.38 eV/atom. The calculation puts the energy above the most stable polymorph in this dataset at 128 meV per atom. As for the calculated density: 9.97 g/cm3. Its symmetry is No. 71. Its density of states at the Fermi level is 7.69 states/eV/cell. For the total magnetization, the calculation gives 0.0 μB/cell.

a b c (Å): 8.6968 8.6968 8.6968
angles (deg): 148.54 110.96 77.83
Closest atoms and distances in Å follow each position.
Fractional coordinates of all 14 atoms:
1 Ac 0.0000 0.0000 0.0000  4 Pd 3.25, 4 Sn 3.54
2 Ac 0.2927 0.2927 0.0000  10 Pd 3.17-3.53
3 Ac 0.7073 0.7073 0.0000  10 Pd 3.17-3.53
4 Sn 0.2678 0.5000 0.7678  6 Pd 2.68-2.88
5 Sn 0.5000 0.0000 0.5000  4 Pd 2.69
6 Sn 0.7322 0.5000 0.2322  6 Pd 2.68-2.88
7 Pd 0.0324 0.6764 0.3560  1 Sn 2.68, 4 Pd 2.82-2.84
8 Pd 0.1626 0.8785 0.2842  3 Sn 2.69-2.88, 3 Pd 2.82-2.83
9 Pd 0.3205 0.6764 0.6440  1 Sn 2.68, 4 Pd 2.82-2.84
10 Pd 0.4057 0.1215 0.2842  3 Sn 2.69-2.88, 3 Pd 2.82-2.83
11 Pd 0.5943 0.8785 0.7158  3 Sn 2.69-2.88, 3 Pd 2.82-2.83
12 Pd 0.6795 0.3236 0.3560  1 Sn 2.68, 4 Pd 2.82-2.84
13 Pd 0.8374 0.1215 0.7158  3 Sn 2.69-2.88, 3 Pd 2.82-2.83
14 Pd 0.9676 0.3236 0.6440  1 Sn 2.68, 4 Pd 2.82-2.84

***

# BaNbSe2

An optimized crystal structure of BaNbSe2 (PBE-GGA, Alexandria).

Values from the calculation:
The electronic total energy is -5.62 eV/atom. The uncorrected formation energy is -0.879 eV/atom. The calculation puts the energy above the most stable polymorph in this dataset at 0 meV per atom. As for the calculated density: 5.80 g/cm3. Its symmetry is No. 119. Its density of states at the Fermi level is 8.25 states/eV/cell. For the total magnetization, the calculation gives 0.0 μB/cell.

a b c (Å): 4.0199 4.0199 13.7491
angles (deg): 90.00 90.00 90.00
Closest atoms and distances in Å follow each position.
Fractional coordinates of all 8 atoms:
1 Ba 0.0000 0.0000 0.0000  8 Se 3.40
2 Ba 0.5000 0.5000 0.5000  8 Se 3.40
3 Nb 0.0000 0.5000 0.7500  4 Se 2.55
4 Nb 0.5000 0.0000 0.2500  4 Se 2.55
5 Se 0.0000 0.0000 0.3638  2 Nb 2.55
6 Se 0.0000 0.0000 0.6362  2 Nb 2.55
7 Se 0.5000 0.5000 0.1362  2 Nb 2.55
8 Se 0.5000 0.5000 0.8638  2 Nb 2.55

***

# La2Y3Pb4

An optimized crystal structure of La2Y3Pb4 (PBE-GGA, Alexandria).

Values from the calculation:
The electronic total energy is -5.42 eV/atom. The calculation puts the energy above the most stable polymorph in this dataset at 125 meV per atom. As for the calculated density: 7.90 g/cm3. Its symmetry is No. 64. Its density of states at the Fermi level is 9.15 states/eV/cell. For the total magnetization, the calculation gives 0.0 μB/cell.

a b c (Å): 9.4808 9.4808 9.0913
angles (deg): 90.00 90.00 135.06
Closest atoms and distances in Å follow each position.
Fractional coordinates of all 18 atoms:
1 La 0.1110 0.8890 0.9108  4 Pb 3.42-3.78
2 La 0.3890 0.6110 0.4108  4 Pb 3.42-3.78
3 La 0.6110 0.3890 0.5892  4 Pb 3.42-3.78
4 La 0.8890 0.1110 0.0892  4 Pb 3.42-3.78
5 Y 0.0000 0.0000 0.5000  6 Pb 2.96-3.30
6 Y 0.0430 0.4570 0.7500  5 Pb 3.06-3.33
7 Y 0.4570 0.0430 0.2500  5 Pb 3.06-3.33
8 Y 0.5000 0.5000 0.0000  6 Pb 2.96-3.30
9 Y 0.5430 0.9570 0.7500  5 Pb 3.06-3.33
10 Y 0.9570 0.5430 0.2500  5 Pb 3.06-3.33
11 Pb 0.1864 0.8136 0.5547  5 Y 3.15-3.33, 1 La 3.50
12 Pb 0.2178 0.2822 0.7500  3 Y 2.96-3.06
13 Pb 0.2822 0.2178 0.2500  3 Y 2.96-3.06
14 Pb 0.3136 0.6864 0.0547  5 Y 3.15-3.33, 1 La 3.50
15 Pb 0.6864 0.3136 0.9453  5 Y 3.15-3.33, 1 La 3.50
16 Pb 0.7178 0.7822 0.7500  3 Y 2.96-3.06
17 Pb 0.7822 0.7178 0.2500  3 Y 2.96-3.06
18 Pb 0.8136 0.1864 0.4453  5 Y 3.15-3.33, 1 La 3.50

***

# CdTeCl3

An optimized crystal structure of CdTeCl3 (PBE-GGA, Alexandria).

Values from the calculation:
The electronic total energy is -2.14 eV/atom. The uncorrected formation energy is -0.221 eV/atom. The calculation puts the energy above the most stable polymorph in this dataset at 99 meV per atom. As for the calculated density: 3.64 g/cm3. Its symmetry is No. 221. Its density of states at the Fermi level is 2.93 states/eV/cell. For the total magnetization, the calculation gives 0.0 μB/cell.

a b c (Å): 5.4043 5.4043 5.4043
angles (deg): 90.00 90.00 90.00
Closest atoms and distances in Å follow each position.
Fractional coordinates of all 5 atoms:
1 Cd 0.0000 0.0000 0.0000  12 Cl 3.82
2 Te 0.5000 0.5000 0.5000  6 Cl 2.70
3 Cl 0.0000 0.5000 0.5000  2 Te 2.70
4 Cl 0.5000 0.0000 0.5000  2 Te 2.70
5 Cl 0.5000 0.5000 0.0000  2 Te 2.70

***

# Y4ThMg3

An optimized crystal structure of Y4ThMg3 (PBE-GGA, Alexandria).

Values from the calculation:
The electronic total energy is -4.83 eV/atom. As for the calculated density: 4.77 g/cm3. Its symmetry is No. 123. Its density of states at the Fermi level is 9.65 states/eV/cell. For the total magnetization, the calculation gives 0.0 μB/cell.

a b c (Å): 3.6831 3.6831 16.9350
angles (deg): 90.00 90.00 90.00
Closest atoms and distances in Å follow each position.
Fractional coordinates of all 8 atoms:
1 Y 0.0000 0.0000 0.1146  8 Mg 3.25-3.32
2 Y 0.0000 0.0000 0.3600  4 Mg 3.35, 4 Th 3.52, 4 Y 3.68
3 Y 0.0000 0.0000 0.6400  4 Mg 3.35, 4 Th 3.52, 4 Y 3.68
4 Y 0.0000 0.0000 0.8854  8 Mg 3.25-3.32
5 Th 0.5000 0.5000 0.5000  8 Y 3.52, 4 Th 3.68
6 Mg 0.5000 0.5000 0.0000  8 Y 3.25
7 Mg 0.5000 0.5000 0.2359  8 Y 3.32-3.35, 4 Mg 3.68
8 Mg 0.5000 0.5000 0.7641  8 Y 3.32-3.35, 4 Mg 3.68